<A>
Below is an optimized crystal structure of BiSbN2, with properties calculated at the PBE level.

Structure (POSCAR):
```
BiSbN2
1.0
5.689 0.000 0.000
0.000 5.689 0.000
2.845 2.845 4.762
N Sb Bi
4 2 2
Cartesian
3.957 1.422 1.191
1.732 4.267 1.191
7.112 6.802 3.572
4.267 4.577 3.572
2.845 5.689 2.381
2.845 2.845 0.000
5.689 2.845 2.381
0.000 0.000 0.000
```

<B>
Below is an optimized crystal structure of BiSbN2, with properties calculated at the PBE level.

Structure (POSCAR):
```
BiSbN2
1.0
-5.420 0.164 -1.138
-2.936 -1.501 -2.570
-7.594 -6.654 6.881
Bi Sb N
1 1 2
Cartesian
-6.300 -2.906 -0.429
-4.512 -0.574 -0.434
-10.330 -4.412 3.103
-10.878 -5.375 2.988
```

Most favorable structure: <B>. The second most favorable one is 687 meV/atom above it.

<A>
Below is an optimized crystal structure of BiSb2N, with properties calculated at the PBE level.

Structure (POSCAR):
```
BiSb2N
1.0
5.992 0.000 0.000
0.000 5.992 0.000
2.996 2.996 6.268
Sb N Bi
4 2 2
Cartesian
2.221 4.494 1.567
7.490 6.767 4.701
4.494 5.216 4.701
3.771 1.498 1.567
2.996 2.996 0.000
2.996 5.992 3.134
5.992 2.996 3.134
0.000 0.000 0.000
```

<B>
Below is an optimized crystal structure of BiSb2N, with properties calculated at the PBE level.

Structure (POSCAR):
```
BiSb2N
1.0
3.219 0.869 3.827
-0.337 4.302 2.672
-1.666 -0.113 4.793
N Sb Bi
1 2 1
Cartesian
0.000 0.000 0.000
0.304 1.265 2.823
0.913 3.794 8.469
0.609 2.529 5.646
```

Most favorable structure: <A>. The second most favorable one is 677 meV/atom above it.

<A>
Below is an optimized crystal structure of Bi3SbN, with properties calculated at the PBE level.

Structure (POSCAR):
```
Bi3SbN
1.0
5.819 0.000 0.000
0.000 5.819 0.000
0.000 0.000 5.819
Bi Sb N
3 1 1
Cartesian
0.000 2.909 0.000
0.000 0.000 2.909
2.909 0.000 0.000
0.000 0.000 0.000
2.909 2.909 2.909
```

<B>
Below is an optimized crystal structure of Bi3SbN, with properties calculated at the PBE level.

Structure (POSCAR):
```
Bi3SbN
1.0
-1.394 -1.854 -3.611
-2.872 -5.591 3.976
-10.562 0.365 3.889
Sb Bi N
2 6 2
Cartesian
-9.988 -4.852 1.579
-6.790 -4.567 2.749
-8.146 -1.572 -0.814
-10.970 -2.597 3.351
-5.809 -6.822 0.977
-5.760 -2.256 1.166
-12.789 -5.352 5.468
-3.989 -4.067 -1.139
-2.231 -3.715 0.552
-3.984 -6.069 -0.114
```

Most favorable structure: <B>. The second most favorable one is 1612 meV/atom above it.

<A>
Below is an optimized crystal structure of Sr2BiSbN, with properties calculated at the PBE level.

Structure (POSCAR):
```
Sr2BiSbN
1.0
-4.385 -2.014 -2.113
1.349 -4.780 1.756
-2.402 0.855 4.171
Sr Sb Bi N
2 1 1 1
Cartesian
-2.192 -1.007 -1.056
0.675 -2.390 0.878
-2.719 -2.970 1.907
-1.201 0.427 2.085
0.000 0.000 0.000
```

<B>
Below is an optimized crystal structure of Sr2BiSbN, with properties calculated at the PBE level.

Structure (POSCAR):
```
Sr2BiSbN
1.0
-1.971 -2.355 -4.375
-3.289 -2.910 3.048
-3.254 3.333 -0.329
Sr Sb Bi N
2 1 1 1
Cartesian
-1.644 -1.455 1.524
-0.985 -1.178 -2.188
-1.627 1.667 -0.164
-4.257 -0.966 -0.828
0.000 0.000 0.000
```

Most favorable structure: <A>. The second most favorable one is 8 meV/atom above it.

<A>
Below is an optimized crystal structure of BiSb2TeN, with properties calculated at the PBE level.

Structure (POSCAR):
```
BiSb2TeN
1.0
5.834 0.000 0.000
0.000 5.834 0.000
0.000 0.000 5.895
Sb Te Bi N
2 1 1 1
Cartesian
2.917 0.000 0.000
0.000 2.917 0.000
0.000 0.000 2.948
0.000 0.000 0.000
2.917 2.917 2.948
```

<B>
Below is an optimized crystal structure of BiSb2TeN, with properties calculated at the PBE level.

Structure (POSCAR):
```
BiSb2TeN
1.0
-4.402 1.496 -1.540
0.630 -2.458 -4.188
-2.051 -3.961 2.016
Bi Sb Te N
1 2 1 1
Cartesian
-2.911 -2.462 -1.856
0.315 -1.229 -2.094
-2.201 0.748 -0.770
-1.025 -1.980 1.008
0.000 0.000 0.000
```

Most favorable structure: <B>. The second most favorable one is 1588 meV/atom above it.

<A>
Below is an optimized crystal structure of BiSbTeN2, with properties calculated at the PBE level.

Structure (POSCAR):
```
BiSbTeN2
1.0
4.388 0.000 0.000
0.000 4.388 0.000
0.000 0.000 6.142
Te Bi N Sb
1 1 2 1
Cartesian
0.000 0.000 3.071
0.000 0.000 0.000
2.194 0.000 0.000
0.000 2.194 0.000
2.194 2.194 3.071
```

<B>
Below is an optimized crystal structure of BiSbTeN2, with properties calculated at the PBE level.

Structure (POSCAR):
```
BiSbTeN2
1.0
-1.995 1.205 3.588
-3.594 -1.874 -1.369
1.617 -4.979 2.571
N Te Sb Bi
2 1 1 1
Cartesian
-0.997 0.603 1.794
-1.797 -0.937 -0.684
0.808 -2.490 1.286
0.000 0.000 0.000
-1.986 -2.824 2.395
```

Most favorable structure: <B>. The second most favorable one is 293 meV/atom above it.

<A>
Below is an optimized crystal structure of Sc2BiN, with properties calculated at the PBE level.

Structure (POSCAR):
```
Sc2BiN
1.0
4.274 0.000 -0.003
0.000 4.274 -0.003
0.003 0.003 8.630
Bi Sc N
2 4 2
Cartesian
3.204 3.204 1.492
1.073 1.072 7.131
3.209 3.209 6.947
3.207 1.070 4.312
1.070 3.207 4.312
1.068 1.068 1.676
1.070 1.070 3.734
3.207 3.207 4.889
```

<B>
Below is an optimized crystal structure of Sc2BiN, with properties calculated at the PBE level.

Structure (POSCAR):
```
Sc2BiN
1.0
3.196 -3.528 0.440
1.147 -1.659 4.335
-1.424 -4.362 1.343
Bi Sc N
1 2 1
Cartesian
1.459 -4.775 3.059
2.189 -7.162 4.589
0.730 -2.387 1.530
0.000 0.000 0.000
```

Most favorable structure: <A>. The second most favorable one is 1407 meV/atom above it.

<A>
Below is an optimized crystal structure of Sc2BiN, with properties calculated at the PBE level.

Structure (POSCAR):
```
Sc2BiN
1.0
6.574 0.000 0.000
0.000 6.574 0.000
3.287 3.287 3.870
Sc Bi N
4 2 2
Cartesian
8.217 7.451 2.902
2.410 4.930 0.967
4.164 1.643 0.967
4.930 5.696 2.902
6.574 3.287 1.935
0.000 0.000 0.000
3.287 3.287 0.000
3.287 6.574 1.935
```

<B>
Below is an optimized crystal structure of Sc2BiN, with properties calculated at the PBE level.

Structure (POSCAR):
```
Sc2BiN
1.0
7.312 4.071 -0.903
8.358 0.889 -0.444
7.401 1.927 -3.516
Sc N Bi
2 1 1
Cartesian
20.284 6.054 -4.275
2.788 0.832 -0.587
11.536 3.443 -2.431
0.000 0.000 0.000
```

Most favorable structure: <A>. The second most favorable one is 144 meV/atom above it.

<A>
Below is an optimized crystal structure of ScBi3N, with properties calculated at the PBE level.

Structure (POSCAR):
```
ScBi3N
1.0
4.943 0.000 0.000
0.000 4.943 0.000
0.000 0.000 4.943
Sc Bi N
1 3 1
Cartesian
2.471 2.471 2.471
0.000 0.000 2.471
0.000 2.471 0.000
2.471 0.000 0.000
0.000 0.000 0.000
```

<B>
Below is an optimized crystal structure of ScBi3N, with properties calculated at the PBE level.

Structure (POSCAR):
```
ScBi3N
1.0
5.604 0.000 0.000
0.000 5.604 0.000
0.000 0.000 5.604
Bi Sc N
3 1 1
Cartesian
0.000 0.000 2.802
2.802 0.000 0.000
0.000 2.802 0.000
0.000 0.000 0.000
2.802 2.802 2.802
```

Most favorable structure: <A>. The second most favorable one is 844 meV/atom above it.

<A>
Below is an optimized crystal structure of Sc6Bi2N, with properties calculated at the PBE level.

Structure (POSCAR):
```
Sc6Bi2N
1.0
6.459 0.000 -0.172
0.000 6.461 0.000
0.240 0.000 9.055
Sc N Bi
12 2 4
Cartesian
1.668 1.640 -0.044
5.017 1.590 4.398
1.682 4.871 4.485
1.639 4.792 -0.043
3.409 3.232 6.734
5.060 1.669 8.926
6.519 6.461 2.121
3.290 3.230 2.149
4.989 4.900 4.398
0.181 0.001 6.762
5.032 4.821 8.927
1.711 1.562 4.485
3.230 3.231 -0.086
0.120 0.000 4.528
3.289 6.461 2.177
6.638 3.231 6.618
3.410 0.001 6.706
0.061 3.230 2.265
```

<B>
Below is an optimized crystal structure of Sc6Bi2N, with properties calculated at the PBE level.

Structure (POSCAR):
```
Sc6Bi2N
1.0
3.473 0.000 0.000
0.000 8.227 0.000
0.000 -4.113 7.016
Sc Bi N
6 2 1
Cartesian
0.000 7.365 1.463
0.000 3.252 5.553
1.736 4.970 0.000
1.736 -2.285 4.270
0.000 2.149 0.000
1.736 1.828 2.746
0.000 0.171 4.595
0.000 4.284 2.421
1.736 7.059 0.000
```

Most favorable structure: <A>. The second most favorable one is 138 meV/atom above it.

<A>
Below is an optimized crystal structure of ScBiTe2N, with properties calculated at the PBE level.

Structure (POSCAR):
```
ScBiTe2N
1.0
5.906 0.000 0.000
0.000 5.906 0.000
0.000 0.000 4.244
Te Sc Bi N
2 1 1 1
Cartesian
2.953 0.000 0.000
0.000 2.953 0.000
2.953 2.953 2.122
0.000 0.000 0.000
0.000 0.000 2.122
```

<B>
Below is an optimized crystal structure of ScBiTe2N, with properties calculated at the PBE level.

Structure (POSCAR):
```
ScBiTe2N
1.0
-0.013 -5.486 -1.717
1.552 -1.656 5.281
-3.887 -0.317 1.043
N Te Bi Sc
1 2 1 1
Cartesian
-1.943 -0.158 0.521
-0.007 -2.743 -0.858
0.776 -0.828 2.641
-1.174 -3.730 2.304
0.000 0.000 0.000
```

Most favorable structure: <B>. The second most favorable one is 682 meV/atom above it.

<A>
Below is an optimized crystal structure of Bi4Se3N2, with properties calculated at the PBE level.

Structure (POSCAR):
```
Bi4Se3N2
1.0
-2.799 -1.432 6.883
0.971 -2.685 7.008
1.611 5.593 7.452
N Bi Se
2 4 3
Cartesian
0.020 0.760 7.006
-0.237 0.717 14.337
-0.921 -1.253 15.242
-0.389 -0.642 5.285
0.704 2.729 6.101
0.172 2.118 16.058
-0.732 -1.106 11.007
0.000 0.000 0.000
0.515 2.582 10.336
```

<B>
Below is an optimized crystal structure of Bi4Se3N2, with properties calculated at the PBE level.

Structure (POSCAR):
```
Bi4Se3N2
1.0
4.024 0.000 0.000
0.000 7.192 0.000
0.000 0.000 15.747
Bi N Se
8 4 6
Cartesian
0.000 1.471 8.910
0.000 2.029 13.422
0.000 5.163 2.324
2.012 1.567 5.549
0.000 5.722 6.837
2.012 5.067 14.710
2.012 2.125 1.037
2.012 5.626 10.198
0.000 0.837 6.684
2.012 2.759 14.558
0.000 6.356 9.062
2.012 4.433 1.189
2.012 3.596 7.873
0.000 0.000 0.000
0.000 4.691 12.403
2.012 1.095 11.217
0.000 2.501 3.344
2.012 6.098 4.529
```

Most favorable structure: <A>. The second most favorable one is 103 meV/atom above it.